[1]
Material: MgCuP4O12
Method: DFT, SCAN
State: single point on PBEsol structure

Calculated values
The calculation puts the energy relative to the elements, uncorrected at -2.355 eV/atom. The total moment is 2.00 μB/cell. The uncorrected energy comes out at -9.9410 eV per atom.

Cell and atoms, written as CIF:
```
data_MgCuP4O12
_cell_length_a 7.148
_cell_length_b 7.148
_cell_length_c 9.676
_cell_angle_alpha 100.07
_cell_angle_beta 109.43
_cell_angle_gamma 108.24
_space_group_name_H-M_alt 'P 1'
_space_group_IT_number 1
loop_
_space_group_symop_operation_xyz
'x,y,z'
loop_
_atom_site_label
_atom_site_fract_x
_atom_site_fract_y
_atom_site_fract_z
Cu1 0.000 0.500 0.000
O1 0.320 0.733 0.201
O2 0.784 0.499 0.579
O3 0.420 0.205 0.921
P1 0.731 0.272 0.479
O4 0.471 0.466 0.151
O5 0.870 0.181 0.579
P2 0.293 0.252 0.021
O6 0.506 0.841 0.593
O7 0.063 0.645 0.860
O8 0.102 0.291 0.921
O9 0.748 0.913 0.907
O10 0.252 0.087 0.093
P3 0.001 0.685 0.709
O11 0.715 0.797 0.360
O12 0.529 0.534 0.849
O13 0.898 0.709 0.079
O14 0.968 0.881 0.701
Mg1 0.203 0.953 0.250
Cu2 0.000 0.000 0.500
O15 0.285 0.203 0.640
O16 0.580 0.795 0.079
P4 0.269 0.728 0.521
O17 0.680 0.267 0.799
P5 0.476 0.292 0.791
O18 0.216 0.501 0.421
O19 0.815 0.320 0.349
P6 0.524 0.708 0.209
O20 0.185 0.680 0.651
O21 0.494 0.159 0.407
Mg2 0.797 0.047 0.750
O22 0.937 0.355 0.140
P7 0.999 0.315 0.291
O23 0.130 0.819 0.421
O24 0.032 0.119 0.299
P8 0.707 0.748 0.979
```


[2]
Material: MgCuP2O7
Method: DFT, SCAN
State: single point on PBEsol structure

Calculated values
The calculation puts the energy relative to the elements, uncorrected at -2.378 eV/atom. The total moment is 4.10 μB/cell. The calculation puts the energy above the most stable polymorph in this dataset at 0.00 eV per formula unit. The uncorrected energy comes out at -10.0676 eV per atom.

Cell and atoms, written as CIF:
```
data_MgCuP2O7
_cell_length_a 6.882
_cell_length_b 8.230
_cell_length_c 9.050
_cell_angle_alpha 90.00
_cell_angle_beta 112.29
_cell_angle_gamma 90.00
_space_group_name_H-M_alt 'P 1'
_space_group_IT_number 1
loop_
_space_group_symop_operation_xyz
'x,y,z'
loop_
_atom_site_label
_atom_site_fract_x
_atom_site_fract_y
_atom_site_fract_z
Mg1 0.762 0.568 0.391
P1 0.456 0.724 0.027
Cu1 0.716 0.559 0.842
O1 0.245 0.838 0.389
O2 0.377 0.267 0.048
O3 0.985 0.097 0.887
O4 0.755 0.162 0.611
Mg2 0.238 0.432 0.609
P2 0.544 0.224 0.473
O5 0.575 0.112 0.911
O6 0.245 0.662 0.889
O7 0.870 0.741 0.796
O8 0.130 0.259 0.204
O9 0.130 0.241 0.704
P3 0.947 0.269 0.263
Mg3 0.762 0.932 0.891
O10 0.896 0.395 0.813
P4 0.544 0.276 0.973
O11 0.104 0.605 0.187
O12 0.502 0.913 0.652
Cu2 0.284 0.441 0.158
O13 0.623 0.767 0.452
O14 0.498 0.087 0.348
O15 0.015 0.903 0.113
P5 0.947 0.231 0.763
O16 0.425 0.888 0.089
O17 0.015 0.597 0.613
P6 0.053 0.731 0.737
P7 0.053 0.769 0.237
Cu3 0.716 0.941 0.342
O18 0.425 0.612 0.589
Cu4 0.284 0.059 0.658
O19 0.575 0.388 0.411
O20 0.985 0.403 0.387
O21 0.498 0.413 0.848
O22 0.755 0.338 0.111
Mg4 0.238 0.068 0.109
O23 0.377 0.233 0.548
O24 0.104 0.895 0.687
O25 0.502 0.587 0.152
O26 0.896 0.105 0.313
P8 0.456 0.776 0.527
O27 0.870 0.759 0.296
O28 0.623 0.733 0.952
```


[3]
Material: Mg3Cu2Si4O14
Method: DFT, SCAN
State: single point on PBEsol structure

Calculated values
The calculation puts the energy relative to the elements, uncorrected at -2.462 eV/atom. The total moment is 0.00 μB/cell. The uncorrected energy comes out at -9.9677 eV per atom.

Cell and atoms, written as CIF:
```
data_Mg3Cu2Si4O14
_cell_length_a 7.584
_cell_length_b 9.358
_cell_length_c 9.287
_cell_angle_alpha 64.03
_cell_angle_beta 65.90
_cell_angle_gamma 66.10
_space_group_name_H-M_alt 'P 1'
_space_group_IT_number 1
loop_
_space_group_symop_operation_xyz
'x,y,z'
loop_
_atom_site_label
_atom_site_fract_x
_atom_site_fract_y
_atom_site_fract_z
O1 0.922 0.454 0.156
O2 0.641 0.094 0.814
O3 0.359 0.906 0.186
O4 0.595 0.786 0.920
Cu1 0.000 0.500 0.500
O5 0.451 0.594 0.314
Mg1 0.068 0.624 0.050
Si1 0.438 0.806 0.830
Si2 0.486 0.396 0.369
Si3 0.514 0.604 0.631
O6 0.022 0.313 0.456
O7 0.499 0.370 0.201
O8 0.792 0.187 0.044
Si4 0.926 0.306 0.330
O9 0.325 0.319 0.539
O10 0.117 0.592 0.278
Mg2 0.258 0.124 0.550
O11 0.930 0.870 0.701
O12 0.698 0.286 0.420
Si5 0.562 0.194 0.170
O13 0.675 0.681 0.461
Mg3 0.932 0.376 0.950
Si6 0.252 0.104 0.131
O14 0.817 0.819 0.039
Mg4 0.395 0.250 0.750
O15 0.078 0.546 0.844
Cu2 0.781 0.250 0.750
Mg5 0.605 0.750 0.250
Cu3 0.219 0.750 0.250
O16 0.468 0.954 0.656
O17 0.070 0.130 0.299
O18 0.208 0.813 0.956
Cu4 0.000 0.000 0.000
Si7 0.748 0.896 0.869
O19 0.987 0.908 0.222
O20 0.549 0.406 0.686
O21 0.183 0.181 0.961
O22 0.013 0.092 0.778
Mg6 0.742 0.876 0.450
O23 0.883 0.408 0.722
O24 0.501 0.630 0.799
O25 0.302 0.714 0.580
Si8 0.074 0.694 0.670
O26 0.405 0.214 0.080
O27 0.532 0.046 0.344
O28 0.978 0.687 0.544
```


[4]
Material: MgCu2Si4O12
Method: DFT, SCAN
State: single point on PBEsol structure

Calculated values
The calculation puts the energy relative to the elements, uncorrected at -2.372 eV/atom. The total moment is 0.00 μB/cell. The uncorrected energy comes out at -10.2777 eV per atom.

Cell and atoms, written as CIF:
```
data_MgCu2Si4O12
_cell_length_a 5.272
_cell_length_b 5.655
_cell_length_c 7.146
_cell_angle_alpha 83.31
_cell_angle_beta 81.36
_cell_angle_gamma 84.39
_space_group_name_H-M_alt 'P 1'
_space_group_IT_number 1
loop_
_space_group_symop_operation_xyz
'x,y,z'
loop_
_atom_site_label
_atom_site_fract_x
_atom_site_fract_y
_atom_site_fract_z
Si1 0.229 0.412 0.198
O1 0.551 0.623 0.661
O2 0.235 0.015 0.751
O3 0.449 0.377 0.339
O4 0.765 0.985 0.249
O5 0.267 0.220 0.038
O6 0.250 0.689 0.098
O7 0.301 0.902 0.396
O8 0.750 0.311 0.902
O9 0.946 0.376 0.316
O10 0.054 0.624 0.684
Mg1 0.000 0.000 0.000
Cu1 0.510 0.824 0.185
O11 0.733 0.780 0.962
Si2 0.771 0.588 0.802
Si3 0.706 0.207 0.383
Cu2 0.490 0.176 0.815
O12 0.699 0.098 0.604
Si4 0.294 0.793 0.617
```


[5]
Material: MgCu2Te2O8
Method: DFT, SCAN
State: single point on PBEsol structure

Calculated values
The calculation puts the energy relative to the elements, uncorrected at -1.237 eV/atom. The total moment is 0.06 μB/cell. The uncorrected energy comes out at -13.5230 eV per atom.

Cell and atoms, written as CIF:
```
data_MgCu2Te2O8
_cell_length_a 6.275
_cell_length_b 8.839
_cell_length_c 11.757
_cell_angle_alpha 90.00
_cell_angle_beta 81.68
_cell_angle_gamma 90.00
_space_group_name_H-M_alt 'P 1'
_space_group_IT_number 1
loop_
_space_group_symop_operation_xyz
'x,y,z'
loop_
_atom_site_label
_atom_site_fract_x
_atom_site_fract_y
_atom_site_fract_z
O1 0.767 0.372 0.891
Cu1 0.189 0.842 0.145
O2 0.598 0.784 0.912
O3 0.187 0.929 0.966
O4 0.922 0.531 0.287
O5 0.477 0.601 0.643
O6 0.897 0.713 0.635
O7 0.598 0.716 0.412
Mg1 0.127 0.362 0.539
Cu2 0.631 0.568 0.913
O8 0.635 0.974 0.624
Te1 0.926 0.573 0.128
O9 0.103 0.287 0.365
O10 0.813 0.071 0.034
O11 0.635 0.526 0.124
Te2 0.410 0.593 0.337
O12 0.941 0.881 0.442
Cu3 0.631 0.932 0.413
O13 0.897 0.787 0.136
Te3 0.074 0.073 0.372
Cu4 0.811 0.342 0.355
O14 0.365 0.474 0.876
Cu5 0.369 0.432 0.087
Mg2 0.873 0.638 0.461
Cu6 0.369 0.068 0.587
O15 0.477 0.899 0.143
O16 0.059 0.119 0.558
Te4 0.590 0.093 0.163
O17 0.233 0.628 0.109
O18 0.523 0.101 0.857
Mg3 0.873 0.862 0.961
O19 0.078 0.031 0.213
O20 0.059 0.382 0.058
Mg4 0.127 0.138 0.039
Te5 0.074 0.427 0.872
O21 0.941 0.618 0.942
O22 0.365 0.026 0.376
O23 0.078 0.469 0.713
Cu7 0.189 0.658 0.645
O24 0.233 0.872 0.609
O25 0.922 0.969 0.787
O26 0.813 0.429 0.534
O27 0.523 0.399 0.357
O28 0.767 0.128 0.391
Te6 0.410 0.907 0.837
Te7 0.590 0.407 0.663
O29 0.402 0.284 0.588
O30 0.402 0.216 0.088
Cu8 0.811 0.158 0.855
O31 0.103 0.213 0.864
Te8 0.926 0.927 0.628
O32 0.187 0.571 0.466
```


[6]
Material: MgV2Cu2O8
Method: DFT, SCAN
State: single point on PBEsol structure

Calculated values
The calculation puts the energy relative to the elements, uncorrected at -2.124 eV/atom. The total moment is 7.96 μB/cell. The uncorrected energy comes out at -11.3704 eV per atom.

Cell and atoms, written as CIF:
```
data_MgV2Cu2O8
_cell_length_a 6.423
_cell_length_b 8.223
_cell_length_c 11.565
_cell_angle_alpha 90.00
_cell_angle_beta 90.12
_cell_angle_gamma 90.00
_space_group_name_H-M_alt 'P 1'
_space_group_IT_number 1
loop_
_space_group_symop_operation_xyz
'x,y,z'
loop_
_atom_site_label
_atom_site_fract_x
_atom_site_fract_y
_atom_site_fract_z
Cu1 0.235 0.316 0.629
O1 0.506 0.100 0.140
O2 0.083 0.895 0.613
O3 0.312 0.370 0.224
O4 0.422 0.782 0.087
Cu2 0.235 0.184 0.129
O5 0.917 0.395 0.887
V1 0.896 0.039 0.654
O6 0.661 0.511 0.096
Cu3 0.376 0.943 0.626
V2 0.391 0.086 0.866
O7 0.661 0.989 0.596
O8 0.190 0.075 0.970
O9 0.123 0.536 0.701
O10 0.339 0.489 0.904
Cu4 0.765 0.816 0.871
O11 0.494 0.900 0.860
O12 0.039 0.734 0.893
O13 0.422 0.718 0.587
Mg1 0.886 0.339 0.452
O14 0.312 0.130 0.724
O15 0.506 0.400 0.640
V3 0.391 0.414 0.366
O16 0.039 0.766 0.393
O17 0.190 0.425 0.470
Cu5 0.624 0.443 0.874
O18 0.083 0.605 0.113
O19 0.578 0.218 0.913
O20 0.688 0.870 0.276
O21 0.877 0.464 0.299
O22 0.578 0.282 0.413
O23 0.339 0.011 0.404
Cu6 0.376 0.557 0.126
V4 0.896 0.461 0.154
Cu7 0.624 0.057 0.374
V5 0.104 0.539 0.846
Cu8 0.765 0.684 0.371
O24 0.494 0.600 0.360
O25 0.688 0.630 0.776
O26 0.961 0.234 0.607
V6 0.609 0.914 0.134
O27 0.961 0.266 0.107
O28 0.123 0.964 0.201
V7 0.104 0.961 0.346
Mg2 0.114 0.839 0.048
O29 0.877 0.036 0.799
O30 0.810 0.575 0.530
Mg3 0.114 0.661 0.548
O31 0.917 0.105 0.387
Mg4 0.886 0.161 0.952
O32 0.810 0.925 0.030
V8 0.609 0.586 0.634
```


Copy entry 4 word for word.
Material: MgCu2Si4O12
Method: DFT, SCAN
State: single point on PBEsol structure

Calculated values
The calculation puts the energy relative to the elements, uncorrected at -2.372 eV/atom. The total moment is 0.00 μB/cell. The uncorrected energy comes out at -10.2777 eV per atom.

Cell and atoms, written as CIF:
```
data_MgCu2Si4O12
_cell_length_a 5.272
_cell_length_b 5.655
_cell_length_c 7.146
_cell_angle_alpha 83.31
_cell_angle_beta 81.36
_cell_angle_gamma 84.39
_space_group_name_H-M_alt 'P 1'
_space_group_IT_number 1
loop_
_space_group_symop_operation_xyz
'x,y,z'
loop_
_atom_site_label
_atom_site_fract_x
_atom_site_fract_y
_atom_site_fract_z
Si1 0.229 0.412 0.198
O1 0.551 0.623 0.661
O2 0.235 0.015 0.751
O3 0.449 0.377 0.339
O4 0.765 0.985 0.249
O5 0.267 0.220 0.038
O6 0.250 0.689 0.098
O7 0.301 0.902 0.396
O8 0.750 0.311 0.902
O9 0.946 0.376 0.316
O10 0.054 0.624 0.684
Mg1 0.000 0.000 0.000
Cu1 0.510 0.824 0.185
O11 0.733 0.780 0.962
Si2 0.771 0.588 0.802
Si3 0.706 0.207 0.383
Cu2 0.490 0.176 0.815
O12 0.699 0.098 0.604
Si4 0.294 0.793 0.617
```